DFT (PBE-GGA) results for crystalline CaPm2Dy2 at its relaxed geometry.

CIF file:
```
data_CaPm2Dy2
_space_group_name_H-M_alt 'P 1'
_space_group_IT_number 1
_cell_length_a 9.214
_cell_length_b 9.214
_cell_length_c 3.565
_cell_angle_alpha 90.00
_cell_angle_beta 90.00
_cell_angle_gamma 144.74
loop_
_space_group_symop_operation_xyz
'x,y,z'
loop_
_atom_site_label
_atom_site_type_symbol
_atom_site_fract_x
_atom_site_fract_y
_atom_site_fract_z
Ca1 Ca 0.000 0.000 0.000
Pm1 Pm 0.379 0.621 0.500
Pm2 Pm 0.621 0.379 0.500
Dy1 Dy 0.201 0.799 0.000
Dy2 Dy 0.799 0.201 0.000
```

Results
For the energy, the calculation gives -20.47 eV/cell. As for the formation enthalpy at 0 K: 0.05 eV per atom. As for the density of states at the Fermi level: 1.359 states/eV per atom.

DFT (PBE-GGA) results for crystalline Ca2Pm12Dy5 at its relaxed geometry.

CIF file:
```
data_Ca2Pm12Dy5
_space_group_name_H-M_alt 'P 1'
_space_group_IT_number 1
_cell_length_a 10.681
_cell_length_b 10.681
_cell_length_c 10.892
_cell_angle_alpha 111.04
_cell_angle_beta 111.04
_cell_angle_gamma 38.47
loop_
_space_group_symop_operation_xyz
'x,y,z'
loop_
_atom_site_label
_atom_site_type_symbol
_atom_site_fract_x
_atom_site_fract_y
_atom_site_fract_z
Ca1 Ca 0.241 0.759 0.000
Ca2 Ca 0.759 0.241 0.000
Pm1 Pm 0.034 0.034 0.399
Pm2 Pm 0.067 0.563 0.402
Pm3 Pm 0.068 0.537 0.920
Pm4 Pm 0.369 0.369 0.694
Pm5 Pm 0.437 0.933 0.598
Pm6 Pm 0.463 0.932 0.080
Pm7 Pm 0.537 0.068 0.920
Pm8 Pm 0.563 0.067 0.402
Pm9 Pm 0.631 0.631 0.306
Pm10 Pm 0.932 0.463 0.080
Pm11 Pm 0.933 0.437 0.598
Pm12 Pm 0.966 0.966 0.601
Dy1 Dy 0.127 0.127 0.805
Dy2 Dy 0.156 0.156 0.294
Dy3 Dy 0.500 0.500 0.500
Dy4 Dy 0.844 0.844 0.706
Dy5 Dy 0.873 0.873 0.195
```

Results
For the energy, the calculation gives -77.26 eV/cell. As for the formation enthalpy at 0 K: 0.36 eV per atom. As for the density of states at the Fermi level: 1.506 states/eV per atom.

DFT (PBE-GGA) results for crystalline CaPm2Dy at its relaxed geometry.

CIF file:
```
data_CaPm2Dy
_space_group_name_H-M_alt 'P 1'
_space_group_IT_number 1
_cell_length_a 3.656
_cell_length_b 3.656
_cell_length_c 10.492
_cell_angle_alpha 90.00
_cell_angle_beta 90.00
_cell_angle_gamma 90.00
loop_
_space_group_symop_operation_xyz
'x,y,z'
loop_
_atom_site_label
_atom_site_type_symbol
_atom_site_fract_x
_atom_site_fract_y
_atom_site_fract_z
Ca1 Ca 0.000 0.000 0.000
Pm1 Pm 0.500 0.500 0.267
Pm2 Pm 0.500 0.500 0.733
Dy1 Dy 0.000 0.000 0.500
```

Results
For the energy, the calculation gives -15.91 eV/cell. As for the formation enthalpy at 0 K: 0.05 eV per atom. As for the density of states at the Fermi level: 1.438 states/eV per atom. Its excess energy over the best structure of this formula in the dataset is 0.03 eV per formula unit.

DFT (PBE-GGA) results for crystalline CaPm6Dy at its relaxed geometry.

CIF file:
```
data_CaPm6Dy
_space_group_name_H-M_alt 'P 1'
_space_group_IT_number 1
_cell_length_a 5.168
_cell_length_b 5.168
_cell_length_c 10.351
_cell_angle_alpha 90.00
_cell_angle_beta 90.00
_cell_angle_gamma 90.00
loop_
_space_group_symop_operation_xyz
'x,y,z'
loop_
_atom_site_label
_atom_site_type_symbol
_atom_site_fract_x
_atom_site_fract_y
_atom_site_fract_z
Ca1 Ca 0.000 0.000 0.000
Pm1 Pm 0.000 0.500 0.257
Pm2 Pm 0.000 0.500 0.743
Pm3 Pm 0.500 0.000 0.257
Pm4 Pm 0.500 0.000 0.743
Pm5 Pm 0.500 0.500 0.000
Pm6 Pm 0.500 0.500 0.500
Dy1 Dy 0.000 0.000 0.500
```

Results
For the energy, the calculation gives -34.74 eV/cell. As for the formation enthalpy at 0 K: 0.05 eV per atom. As for the density of states at the Fermi level: 1.491 states/eV per atom.